Record 1
# NaYZr

NaYZr after structural relaxation (PBE-GGA, the Alexandria database).

```
data_NaYZr
_space_group_name_H-M_alt 'R 3 m'
_space_group_IT_number 160
_space_group_name_Hall 'R 3 -2"'
_cell_length_a 3.3534
_cell_length_b 3.3534
_cell_length_c 26.9110
_cell_angle_alpha 90.00
_cell_angle_beta 90.00
_cell_angle_gamma 120.00
loop_
_atom_site_label
_atom_site_type_symbol
_atom_site_fract_x
_atom_site_fract_y
_atom_site_fract_z
Na1 Na 0.0000 0.0000 0.0000
Y1 Y 0.0000 0.0000 0.4574
Zr1 Zr 0.0000 0.0000 0.2199
```

Output
Formation energy from the elements   254 meV/atom
Raw total energy   -15.57 eV/f.u.

***

Record 2
# RbAgGeS3

RbAgGeS3 after structural relaxation (PBE-GGA, the Alexandria database).

```
data_RbAgGeS3
_space_group_name_H-M_alt 'C 1 2/m 1'
_space_group_IT_number 12
_space_group_name_Hall '-C 2y'
_cell_length_a 12.3288
_cell_length_b 7.3899
_cell_length_c 8.5880
_cell_angle_alpha 90.00
_cell_angle_beta 113.98
_cell_angle_gamma 90.00
loop_
_atom_site_label
_atom_site_type_symbol
_atom_site_fract_x
_atom_site_fract_y
_atom_site_fract_z
Rb1 Rb 0.2012 0.0000 0.2066
Ag1 Ag 0.0000 0.2171 0.5000
Ge1 Ge 0.0584 0.5000 0.2617
S1 S 0.0464 0.2516 0.7987
S2 S 0.2451 0.5000 0.3565
```

Output
Raw total energy   -23.75 eV/f.u.

***

Repeat the first record exactly.
# NaYZr

NaYZr after structural relaxation (PBE-GGA, the Alexandria database).

```
data_NaYZr
_space_group_name_H-M_alt 'R 3 m'
_space_group_IT_number 160
_space_group_name_Hall 'R 3 -2"'
_cell_length_a 3.3534
_cell_length_b 3.3534
_cell_length_c 26.9110
_cell_angle_alpha 90.00
_cell_angle_beta 90.00
_cell_angle_gamma 120.00
loop_
_atom_site_label
_atom_site_type_symbol
_atom_site_fract_x
_atom_site_fract_y
_atom_site_fract_z
Na1 Na 0.0000 0.0000 0.0000
Y1 Y 0.0000 0.0000 0.4574
Zr1 Zr 0.0000 0.0000 0.2199
```

Output
Formation energy from the elements   254 meV/atom
Raw total energy   -15.57 eV/f.u.

***

Please write out number 1 again, unchanged.
# NaYZr

NaYZr after structural relaxation (PBE-GGA, the Alexandria database).

```
data_NaYZr
_space_group_name_H-M_alt 'R 3 m'
_space_group_IT_number 160
_space_group_name_Hall 'R 3 -2"'
_cell_length_a 3.3534
_cell_length_b 3.3534
_cell_length_c 26.9110
_cell_angle_alpha 90.00
_cell_angle_beta 90.00
_cell_angle_gamma 120.00
loop_
_atom_site_label
_atom_site_type_symbol
_atom_site_fract_x
_atom_site_fract_y
_atom_site_fract_z
Na1 Na 0.0000 0.0000 0.0000
Y1 Y 0.0000 0.0000 0.4574
Zr1 Zr 0.0000 0.0000 0.2199
```

Output
Formation energy from the elements   254 meV/atom
Raw total energy   -15.57 eV/f.u.

***

Q: Which of these has the lowest raw total energy?
A: RbAgGeS3